(1)
CdPbSO | GGA-PBE | relaxed

Results
SG = P6_3mc (186)
energy above the most stable polymorph in this dataset = 236 meV per atom
calculated volume = 84 Å³/f.u.

POSCAR file:
```
CdPbSO
1.0
-3.4854 -0.6793 1.2855
0.9704 -1.0790 -3.4865
4.1219 -11.9682 4.8513
S O Pb Cd
2 2 2 2
Direct
0.6667 0.3333 0.1203 S
0.3333 0.6667 0.6203 S
0.0000 0.0000 0.3151 O
0.0000 0.0000 0.8151 O
0.0000 0.0000 0.4926 Pb
0.0000 0.0000 0.9926 Pb
0.3333 0.6667 0.2597 Cd
0.6667 0.3333 0.7597 Cd
```

(2)
CdPbSO | GGA-PBE | relaxed

Results
SG = P4/nmm (129)
energy above the most stable polymorph in this dataset = 136 meV per atom
calculated volume = 82 Å³/f.u.

POSCAR file:
```
CdPbSO
1.0
4.2825 0.0000 0.0000
0.0000 4.2825 0.0000
0.0000 0.0000 8.9614
S Cd Pb O
2 2 2 2
Direct
0.2500 0.2500 0.1307 S
0.7500 0.7500 0.8693 S
0.7500 0.7500 0.5751 Cd
0.2500 0.2500 0.4249 Cd
0.7500 0.7500 0.1770 Pb
0.2500 0.2500 0.8230 Pb
0.7500 0.2500 0.5000 O
0.2500 0.7500 0.5000 O
```

(3)
CdPbSO | GGA-PBE | relaxed

Results
SG = Cm (8)
energy above the most stable polymorph in this dataset = 159 meV per atom
calculated volume = 87 Å³/f.u.

POSCAR file:
```
CdPbSO
1.0
8.6388 -1.7760 0.0000
8.6388 1.7760 0.0000
-0.8733 0.0000 5.6921
Cd S O Pb
2 2 2 2
Direct
0.9999 0.9999 0.5005 Cd
0.0004 0.0004 0.0008 Cd
0.8584 0.8584 0.6121 S
0.1414 0.1414 0.3871 S
0.5438 0.5438 0.7855 O
0.4563 0.4563 0.2149 O
0.6733 0.6733 0.7375 Pb
0.3267 0.3267 0.2615 Pb
```

(4)
CdPbSO | GGA-PBE | relaxed

Results
SG = P2_12_12_1 (19)
energy above the most stable polymorph in this dataset = 67 meV per atom
calculated volume = 88 Å³/f.u.

POSCAR file:
```
CdPbSO
1.0
-4.5756 4.2284 1.8503
0.8676 -2.1546 7.0696
5.0705 5.0814 0.9264
Pb O Cd S
4 4 4 4
Direct
0.6765 0.6093 0.3946 Pb
0.8235 0.3907 0.8946 Pb
0.3235 0.1093 0.1054 Pb
0.1765 0.8907 0.6054 Pb
0.6210 0.2728 0.1158 O
0.3790 0.7728 0.3842 O
0.1210 0.2272 0.8842 O
0.8790 0.7272 0.6158 O
0.2035 0.6403 0.1654 Cd
0.2965 0.3597 0.6654 Cd
0.7035 0.8597 0.8346 Cd
0.7965 0.1403 0.3346 Cd
0.1251 0.3449 0.3494 S
0.8749 0.8449 0.1506 S
0.3749 0.6551 0.8494 S
0.6251 0.1551 0.6506 S
```